DFT (PBE) results for a geometry-optimized Mn2AlOs structure.

Cell: 4.8665 4.8665 4.8665 Å, 144.85 130.22 62.39°
Last column: nearest neighbours and their distance in Å.
Sites, in units of the cell vectors:
1 Al 0.2500 0.7500 0.5000  4 Os 2.52, 4 Mn 2.55
2 Os 0.7500 0.2500 0.5000  4 Al 2.52, 4 Mn 2.55
3 Mn 0.4996 0.4996 0.0000  4 Mn 2.52, 2 Al 2.55, 2 Os 2.55
4 Mn 0.0004 0.0004 0.0000  4 Mn 2.52, 2 Al 2.55, 2 Os 2.55

DFT formation energy in eV per atom: -0.106
Size of the total moment in Bohr magnetons per cell: 2.15